[1]
This record from Alexandria via LeMat-Bulk describes a PBEsol-optimized structure of BaSn5. The functional is SCAN.

Density: 7.0 g/cm3
Crystal system: hexagonal
ΔE_f: -1.765 eV per formula unit

Structure (POSCAR):
```
BaSn5
1.0
5.333 0.000 0.000
-2.667 4.619 0.000
0.000 0.000 7.065
Ba Sn
1 5
direct
0.000 0.000 0.000
0.000 0.000 0.500
0.333 0.667 0.290
0.333 0.667 0.710
0.667 0.333 0.290
0.667 0.333 0.710
```

[2]
This record from Alexandria via LeMat-Bulk describes a PBEsol-optimized structure of Ba2Sn. The functional is SCAN.

Density: 5.2 g/cm3
Crystal system: orthorhombic
ΔE_f: -2.129 eV per formula unit

Structure (POSCAR):
```
Ba2Sn
1.0
8.528 0.000 0.000
0.000 5.592 0.000
0.000 0.000 10.570
Ba Sn
8 4
direct
0.022 0.250 0.182
0.158 0.250 0.579
0.342 0.750 0.079
0.478 0.750 0.682
0.522 0.250 0.318
0.658 0.250 0.921
0.842 0.750 0.421
0.978 0.750 0.818
0.247 0.250 0.896
0.253 0.750 0.396
0.747 0.250 0.604
0.753 0.750 0.104
```

[3]
This record from Alexandria via LeMat-Bulk describes a PBEsol-optimized structure of Ba5Sn3. The functional is SCAN.

Density: 5.2 g/cm3
Crystal system: tetragonal
ΔE_f: -5.782 eV per formula unit

Structure (POSCAR):
```
Ba5Sn3
1.0
-4.441 4.441 8.478
4.441 -4.441 8.478
4.441 4.441 -8.478
Ba Sn
10 6
direct
0.000 0.000 0.000
0.035 0.535 0.858
0.177 0.035 0.500
0.323 0.823 0.858
0.465 0.323 0.500
0.500 0.500 0.000
0.535 0.677 0.500
0.677 0.177 0.142
0.823 0.965 0.500
0.965 0.465 0.142
0.115 0.385 0.500
0.250 0.250 0.000
0.385 0.885 0.270
0.615 0.115 0.730
0.750 0.750 0.000
0.885 0.615 0.500
```

[4]
This record from Alexandria via LeMat-Bulk describes a PBEsol-optimized structure of BaTc2Sn2. The functional is SCAN.

Density: 8.0 g/cm3
Crystal system: tetragonal
ΔE_f: 0.115 eV per formula unit

Structure (POSCAR):
```
BaTc2Sn2
1.0
-2.173 2.173 6.249
2.173 -2.173 6.249
2.173 2.173 -6.249
Ba Tc Sn
1 2 2
direct
0.000 0.000 0.000
0.250 0.750 0.500
0.750 0.250 0.500
0.374 0.374 0.000
0.626 0.626 0.000
```

[5]
This record from Alexandria via LeMat-Bulk describes a PBEsol-optimized structure of BaTcSn2. The functional is SCAN.

Density: 8.3 g/cm3
Crystal system: cubic
ΔE_f: 1.570 eV per formula unit

Structure (POSCAR):
```
BaTcSn2
1.0
0.000 3.616 3.616
3.616 0.000 3.616
3.616 3.616 0.000
Ba Tc Sn
1 1 2
direct
0.000 0.000 0.000
0.500 0.500 0.500
0.250 0.250 0.250
0.750 0.750 0.750
```

[6]
This record from Alexandria via LeMat-Bulk describes a PBEsol-optimized structure of BaY2TcSn. The functional is SCAN.

Density: 5.8 g/cm3
Crystal system: tetragonal
ΔE_f: 0.583 eV per formula unit

Structure (POSCAR):
```
BaY2TcSn
1.0
5.281 0.000 0.000
0.000 5.281 0.000
0.000 0.000 5.483
Ba Y Tc Sn
1 2 1 1
direct
0.000 0.000 0.000
0.000 0.500 0.500
0.500 0.000 0.500
0.000 0.000 0.500
0.500 0.500 0.000
```

[7]
This record from Alexandria via LeMat-Bulk describes a PBEsol-optimized structure of Ba3SnTe. The functional is SCAN.

Density: 4.0 g/cm3
Energy relative to the elements, uncorrected: -326.2 kJ/mol of formula units
Crystal system: cubic

Structure (POSCAR):
```
Ba3SnTe
1.0
6.463 0.000 0.000
0.000 6.463 0.000
0.000 0.000 6.463
Ba Sn Te
3 1 1
direct
0.000 0.000 0.500
0.000 0.500 0.000
0.500 0.000 0.000
0.000 0.000 0.000
0.500 0.500 0.500
```

[8]
This record from Alexandria via LeMat-Bulk describes a PBEsol-optimized structure of BaZr2SnTe. The functional is SCAN.

Density: 5.3 g/cm3
Energy relative to the elements, uncorrected: 165.8 kJ/mol of formula units
Crystal system: tetragonal

Structure (POSCAR):
```
BaZr2SnTe
1.0
5.391 0.000 0.000
0.000 5.391 0.000
0.000 0.000 6.066
Ba Zr Sn Te
1 2 1 1
direct
0.000 0.000 0.000
0.000 0.500 0.500
0.500 0.000 0.500
0.500 0.500 0.500
0.500 0.500 0.000
```

[9]
This record from Alexandria via LeMat-Bulk describes a PBEsol-optimized structure of Ba3TiSn. The functional is SCAN.

Density: 3.4 g/cm3
Crystal system: cubic
ΔE_f: 1.817 eV per formula unit

Structure (POSCAR):
```
Ba3TiSn
1.0
6.534 0.000 0.000
0.000 6.534 0.000
0.000 0.000 6.534
Ba Ti Sn
3 1 1
direct
0.000 0.000 0.500
0.000 0.500 0.000
0.500 0.000 0.000
0.500 0.500 0.500
0.000 0.000 0.000
```

[10]
This record from Alexandria via LeMat-Bulk describes a PBEsol-optimized structure of BaTl3Sn. The functional is SCAN.

Density: 7.7 g/cm3
Crystal system: cubic
ΔE_f: -0.160 eV per formula unit

Structure (POSCAR):
```
BaTl3Sn
1.0
5.730 0.000 0.000
0.000 5.730 0.000
0.000 0.000 5.730
Ba Tl Sn
1 3 1
direct
0.000 0.000 0.000
0.000 0.500 0.500
0.500 0.000 0.500
0.500 0.500 0.000
0.500 0.500 0.500
```

[11]
This record from Alexandria via LeMat-Bulk describes a PBEsol-optimized structure of BaTl2Sn. The functional is SCAN.

Density: 9.0 g/cm3
Crystal system: cubic
ΔE_f: -1.616 eV per formula unit

Structure (POSCAR):
```
BaTl2Sn
1.0
0.000 3.941 3.941
3.941 0.000 3.941
3.941 3.941 0.000
Ba Tl Sn
1 2 1
direct
0.000 0.000 0.000
0.250 0.250 0.250
0.750 0.750 0.750
0.500 0.500 0.500
```

[12]
This record from Alexandria via LeMat-Bulk describes a PBEsol-optimized structure of Ba2TlSn2. The functional is SCAN.

Density: 6.8 g/cm3
Crystal system: tetragonal
ΔE_f: -2.959 eV per formula unit

Structure (POSCAR):
```
Ba2TlSn2
1.0
8.141 0.000 0.000
0.000 8.141 0.000
0.000 0.000 5.296
Ba Tl Sn
4 2 4
direct
0.171 0.329 0.000
0.329 0.829 0.000
0.671 0.171 0.000
0.829 0.671 0.000
0.000 0.000 0.500
0.500 0.500 0.500
0.128 0.628 0.500
0.372 0.128 0.500
0.628 0.872 0.500
0.872 0.372 0.500
```

[13]
This record from Alexandria via LeMat-Bulk describes a PBEsol-optimized structure of BaTl2Sn2. The functional is SCAN.

Density: 8.1 g/cm3
Crystal system: tetragonal
ΔE_f: -1.779 eV per formula unit

Structure (POSCAR):
```
BaTl2Sn2
1.0
-2.501 2.501 6.436
2.501 -2.501 6.436
2.501 2.501 -6.436
Ba Tl Sn
1 2 2
direct
0.000 0.000 0.000
0.250 0.750 0.500
0.750 0.250 0.500
0.388 0.388 0.000
0.612 0.612 0.000
```

[14]
This record from Alexandria via LeMat-Bulk describes a PBEsol-optimized structure of BaZn2Sn2. The functional is SCAN.

Density: 6.8 g/cm3
Crystal system: tetragonal
ΔE_f: -2.396 eV per formula unit

Structure (POSCAR):
```
BaZn2Sn2
1.0
4.726 0.000 0.000
0.000 4.726 0.000
0.000 0.000 11.077
Ba Zn Sn
2 4 4
direct
0.250 0.250 0.240
0.750 0.750 0.760
0.250 0.250 0.635
0.250 0.750 0.000
0.750 0.250 0.000
0.750 0.750 0.365
0.250 0.250 0.873
0.250 0.750 0.500
0.750 0.250 0.500
0.750 0.750 0.127
```

[15]
This record from Alexandria via LeMat-Bulk describes a PBEsol-optimized structure of BaZnSn. The functional is SCAN.

Density: 5.8 g/cm3
Crystal system: hexagonal
ΔE_f: -1.863 eV per formula unit

Structure (POSCAR):
```
BaZnSn
1.0
4.639 0.000 0.000
-2.320 4.018 0.000
0.000 0.000 9.820
Ba Zn Sn
2 2 2
direct
0.000 0.000 0.000
0.000 0.000 0.500
0.333 0.667 0.250
0.667 0.333 0.750
0.333 0.667 0.750
0.667 0.333 0.250
```

[16]
This record from Alexandria via LeMat-Bulk describes a PBEsol-optimized structure of Ba3Sr. The functional is SCAN.

Density: 3.7 g/cm3
ΔE to the lowest computed polymorph: 0.024 eV per atom
Crystal system: orthorhombic
ΔE_f: 0.119 eV per formula unit

Structure (POSCAR):
```
Ba3Sr
1.0
-2.147 7.076 3.730
2.147 -7.076 3.730
2.147 7.076 -3.730
Ba Sr
3 1
direct
0.000 0.000 0.000
0.418 0.667 0.751
0.917 0.667 0.249
0.501 0.001 0.500
```

[17]
This record from Alexandria via LeMat-Bulk describes a PBEsol-optimized structure of Ba3Sr5. The functional is SCAN.

Density: 3.2 g/cm3
Crystal system: orthorhombic
ΔE_f: 0.151 eV per formula unit

Structure (POSCAR):
```
Ba3Sr5
1.0
6.012 -6.074 0.000
6.012 6.074 0.000
0.000 0.000 6.010
Ba Sr
3 5
direct
0.000 0.000 0.000
0.252 0.748 0.500
0.748 0.252 0.500
0.000 0.500 0.000
0.253 0.253 0.500
0.500 0.000 0.000
0.500 0.500 0.000
0.747 0.747 0.500
```

[18]
This record from Alexandria via LeMat-Bulk describes a PBEsol-optimized structure of BaSr3. The functional is SCAN.

Density: 3.2 g/cm3
ΔE to the lowest computed polymorph: 0.003 eV per atom
Crystal system: orthorhombic
ΔE_f: 0.062 eV per formula unit

Structure (POSCAR):
```
BaSr3
1.0
4.697 -6.682 0.000
4.697 6.682 0.000
0.000 0.000 6.691
Ba Sr
2 6
direct
0.126 0.874 0.750
0.874 0.126 0.250
0.126 0.375 0.750
0.375 0.126 0.250
0.375 0.625 0.250
0.625 0.375 0.750
0.625 0.874 0.750
0.874 0.625 0.250
```

[19]
This record from Alexandria via LeMat-Bulk describes a PBEsol-optimized structure of Ba5Sr4. The functional is SCAN.

Density: 3.5 g/cm3
ΔE to the lowest computed polymorph: 0.000 eV per atom
Crystal system: tetragonal
ΔE_f: 0.106 eV per formula unit

Structure (POSCAR):
```
Ba5Sr4
1.0
-7.149 7.149 2.419
7.149 -7.149 2.419
7.149 7.149 -2.419
Ba Sr
5 4
direct
0.000 0.000 0.000
0.334 0.334 0.667
0.334 0.666 0.000
0.666 0.334 0.000
0.666 0.666 0.333
0.000 0.336 0.336
0.000 0.664 0.664
0.336 0.000 0.336
0.664 0.000 0.664
```

[20]
This record from Alexandria via LeMat-Bulk describes a PBEsol-optimized structure of Ba8Sr. The functional is SCAN.

Density: 3.8 g/cm3
Crystal system: tetragonal
ΔE_f: 0.267 eV per formula unit

Structure (POSCAR):
```
Ba8Sr
1.0
-6.512 6.512 3.084
6.512 -6.512 3.084
6.512 6.512 -3.084
Ba Sr
8 1
direct
0.000 0.332 0.332
0.000 0.668 0.668
0.332 0.000 0.332
0.334 0.334 0.669
0.334 0.666 0.000
0.666 0.334 0.000
0.666 0.666 0.331
0.668 0.000 0.668
0.000 0.000 0.000
```

[21]
This record from Alexandria via LeMat-Bulk describes a PBEsol-optimized structure of Ba3Sr. The functional is SCAN.

Density: 3.7 g/cm3
ΔE to the lowest computed polymorph: 0.002 eV per atom
Crystal system: orthorhombic
ΔE_f: 0.033 eV per formula unit

Structure (POSCAR):
```
Ba3Sr
1.0
-2.416 3.419 6.834
2.416 -3.419 6.834
2.416 3.419 -6.834
Ba Sr
3 1
direct
0.000 0.000 0.000
0.251 0.751 0.500
0.749 0.249 0.500
0.500 0.500 0.000
```

[22]
This record from Alexandria via LeMat-Bulk describes a PBEsol-optimized structure of Ba2Sr. The functional is SCAN.

Density: 2.9 g/cm3
ΔE to the lowest computed polymorph: 0.297 eV per atom
Crystal system: tetragonal
ΔE_f: 0.922 eV per formula unit

Structure (POSCAR):
```
Ba2Sr
1.0
6.831 0.000 0.000
0.000 6.831 0.000
0.000 0.000 4.432
Ba Sr
2 1
direct
0.000 0.500 0.000
0.500 0.000 0.000
0.000 0.000 0.500
```

[23]
This record from Alexandria via LeMat-Bulk describes a PBEsol-optimized structure of Ba3Sr. The functional is SCAN.

Density: 3.6 g/cm3
ΔE to the lowest computed polymorph: 0.026 eV per atom
Crystal system: tetragonal
ΔE_f: 0.130 eV per formula unit

Structure (POSCAR):
```
Ba3Sr
1.0
-3.043 3.043 12.373
3.043 -3.043 12.373
3.043 3.043 -12.373
Ba Sr
6 2
direct
0.000 0.500 0.500
0.125 0.125 0.000
0.250 0.750 0.500
0.500 0.000 0.500
0.750 0.250 0.500
0.875 0.875 0.000
0.375 0.375 0.000
0.625 0.625 0.000
```

[24]
This record from Alexandria via LeMat-Bulk describes a PBEsol-optimized structure of BaSr3. The functional is SCAN.

Density: 3.2 g/cm3
ΔE to the lowest computed polymorph: 0.010 eV per atom
Crystal system: cubic
ΔE_f: 0.092 eV per formula unit

Structure (POSCAR):
```
BaSr3
1.0
0.000 4.724 4.724
4.724 0.000 4.724
4.724 4.724 0.000
Ba Sr
1 3
direct
0.000 0.000 0.000
0.250 0.250 0.250
0.500 0.500 0.500
0.750 0.750 0.750
```

[25]
This record from Alexandria via LeMat-Bulk describes a PBEsol-optimized structure of BaSr3. The functional is SCAN.

Density: 3.1 g/cm3
ΔE to the lowest computed polymorph: 0.001 eV per atom
Crystal system: cubic
ΔE_f: 0.054 eV per formula unit

Structure (POSCAR):
```
BaSr3
1.0
5.998 0.000 0.000
0.000 5.998 0.000
0.000 0.000 5.998
Ba Sr
1 3
direct
0.000 0.000 0.000
0.000 0.500 0.500
0.500 0.000 0.500
0.500 0.500 0.000
```

[26]
This record from Alexandria via LeMat-Bulk describes a PBEsol-optimized structure of Ba5Sr4. The functional is SCAN.

Density: 3.4 g/cm3
ΔE to the lowest computed polymorph: 0.042 eV per atom
Crystal system: hexagonal
ΔE_f: 0.480 eV per formula unit

Structure (POSCAR):
```
Ba5Sr4
1.0
11.906 0.000 0.000
-5.953 10.311 0.000
0.000 0.000 8.147
Ba Sr
10 8
direct
0.000 0.339 0.250
0.000 0.661 0.750
0.333 0.667 0.000
0.333 0.667 0.500
0.339 0.000 0.250
0.339 0.339 0.750
0.661 0.000 0.750
0.661 0.661 0.250
0.667 0.333 0.000
0.667 0.333 0.500
0.000 0.000 0.000
0.000 0.000 0.500
0.000 0.326 0.750
0.000 0.674 0.250
0.326 0.000 0.750
0.326 0.326 0.250
0.674 0.000 0.250
0.674 0.674 0.750
```